Entry 1:
VASP calculation (PBE) on crystalline PuReBi at its relaxed geometry.

Cell and atoms, written as CIF:
```
data_PuReBi
_cell_length_a 4.740
_cell_length_b 4.740
_cell_length_c 4.740
_cell_angle_alpha 60.00
_cell_angle_beta 60.00
_cell_angle_gamma 60.00
_space_group_name_H-M_alt 'P 1'
_space_group_IT_number 1
loop_
_space_group_symop_operation_xyz
'x,y,z'
loop_
_atom_site_label
_atom_site_type_symbol
_atom_site_fract_x
_atom_site_fract_y
_atom_site_fract_z
Re1 Re 0.750 0.750 0.750
Bi1 Bi 0.250 0.250 0.250
Pu1 Pu 0.000 0.000 0.000
```

V = 75.3 Å³/cell
Offset from the most stable computed form = 0.708 eV per atom
Spin magnetization = 1.27 μB per atom

Entry 2:
VASP calculation (PBE) on crystalline TmSc2Al3Ge2Au at its relaxed geometry.

Cell and atoms, written as CIF:
```
data_TmSc2Al3Ge2Au
_cell_length_a 4.134
_cell_length_b 6.882
_cell_length_c 6.882
_cell_angle_alpha 120.55
_cell_angle_beta 90.00
_cell_angle_gamma 90.00
_space_group_name_H-M_alt 'P 1'
_space_group_IT_number 1
loop_
_space_group_symop_operation_xyz
'x,y,z'
loop_
_atom_site_label
_atom_site_type_symbol
_atom_site_fract_x
_atom_site_fract_y
_atom_site_fract_z
Al1 Al 0.500 0.001 0.757
Al2 Al 0.500 0.757 0.001
Al3 Al 0.500 0.244 0.244
Sc1 Sc 0.000 0.414 0.997
Sc2 Sc 0.000 0.997 0.414
Tm1 Tm 0.000 0.583 0.583
Ge1 Ge 0.500 0.328 0.668
Ge2 Ge 0.500 0.668 0.328
Au1 Au 0.000 0.008 0.008
```

V = 168.6 Å³/cell
Spin magnetization = 0.00 μB per atom
Total energy = -5.22 eV/atom

Entry 3:
VASP calculation (PBE) on crystalline LiPdNO at its relaxed geometry.

Cell and atoms, written as CIF:
```
data_LiPdNO
_cell_length_a 3.495
_cell_length_b 4.550
_cell_length_c 5.712
_cell_angle_alpha 90.00
_cell_angle_beta 90.00
_cell_angle_gamma 90.00
_space_group_name_H-M_alt 'P 1'
_space_group_IT_number 1
loop_
_space_group_symop_operation_xyz
'x,y,z'
loop_
_atom_site_label
_atom_site_type_symbol
_atom_site_fract_x
_atom_site_fract_y
_atom_site_fract_z
O1 O 0.500 0.423 0.162
O2 O 0.500 0.923 0.838
Pd1 Pd 0.500 0.951 0.212
Pd2 Pd 0.500 0.451 0.788
N1 N 0.000 0.925 0.350
N2 N 0.000 0.425 0.650
Li1 Li 0.000 0.954 0.708
Li2 Li 0.000 0.454 0.292
```

V = 90.8 Å³/cell
Offset from the most stable computed form = 0.056 eV per atom

Entry 4:
VASP calculation (PBE) on crystalline SrBiAu at its relaxed geometry.

Cell and atoms, written as CIF:
```
data_SrBiAu
_cell_length_a 5.439
_cell_length_b 5.438
_cell_length_c 6.752
_cell_angle_alpha 90.00
_cell_angle_beta 90.00
_cell_angle_gamma 120.00
_space_group_name_H-M_alt 'P 1'
_space_group_IT_number 1
loop_
_space_group_symop_operation_xyz
'x,y,z'
loop_
_atom_site_label
_atom_site_type_symbol
_atom_site_fract_x
_atom_site_fract_y
_atom_site_fract_z
Bi1 Bi 0.000 0.000 0.500
Bi2 Bi 0.000 0.000 0.000
Au1 Au 0.333 0.667 0.250
Au2 Au 0.667 0.333 0.750
Sr1 Sr 0.333 0.667 0.750
Sr2 Sr 0.667 0.333 0.250
```

V = 173.0 Å³/cell
Total energy = -3.59 eV/atom

Entry 5:
VASP calculation (PBE) on crystalline HoMg2O4 at its relaxed geometry.

Cell and atoms, written as CIF:
```
data_HoMg2O4
_cell_length_a 6.225
_cell_length_b 6.225
_cell_length_c 6.225
_cell_angle_alpha 119.99
_cell_angle_beta 90.01
_cell_angle_gamma 119.99
_space_group_name_H-M_alt 'P 1'
_space_group_IT_number 1
loop_
_space_group_symop_operation_xyz
'x,y,z'
loop_
_atom_site_label
_atom_site_type_symbol
_atom_site_fract_x
_atom_site_fract_y
_atom_site_fract_z
Mg1 Mg 0.375 0.750 0.125
Mg2 Mg 0.375 0.750 0.625
Mg3 Mg 0.875 0.250 0.625
Mg4 Mg 0.375 0.250 0.625
O1 O 0.138 0.276 0.415
O2 O 0.612 0.224 0.388
O3 O 0.138 0.724 0.862
O4 O 0.612 0.224 0.835
O5 O 0.138 0.276 0.862
O6 O 0.165 0.776 0.388
O7 O 0.585 0.724 0.862
O8 O 0.612 0.776 0.388
Ho1 Ho 0.750 0.500 0.250
Ho2 Ho 0.000 0.000 0.000
```

V = 170.6 Å³/cell
Spin magnetization = 0.14 μB per atom
Total energy = -6.52 eV/atom

Entry 6:
VASP calculation (PBE) on crystalline YTa2Ag at its relaxed geometry.

Cell and atoms, written as CIF:
```
data_YTa2Ag
_cell_length_a 4.834
_cell_length_b 4.834
_cell_length_c 4.834
_cell_angle_alpha 60.00
_cell_angle_beta 60.00
_cell_angle_gamma 60.00
_space_group_name_H-M_alt 'P 1'
_space_group_IT_number 1
loop_
_space_group_symop_operation_xyz
'x,y,z'
loop_
_atom_site_label
_atom_site_type_symbol
_atom_site_fract_x
_atom_site_fract_y
_atom_site_fract_z
Ta1 Ta 0.500 0.500 0.500
Ta2 Ta 0.250 0.250 0.250
Ag1 Ag 0.750 0.750 0.750
Y1 Y 0.000 0.000 0.000
```

V = 79.9 Å³/cell
Spin magnetization = 0.00 μB per atom
Energy of formation = 0.344 eV per atom